Entry 1:
Compound: YZn2InO
Source: the Alexandria database
Functional: PBE
Structure: relaxed

Values from the calculation:
Its uncorrected formation energy is 1.121 eV/atom. As for the total energy: -11.10 eV per cell.

abc: 5.582 5.582 6.131
angles: 90.00 90.00 90.00
Space group P4/mmm (No. 123)
Inequivalent atoms, fractional coordinates:
1 Y 0.000 0.000 0.000
2 Zn 0.000 0.500 0.000
3 In 0.000 0.000 0.500
4 O 0.500 0.500 0.500

---

Entry 2:
Compound: YZr2InO
Source: the Alexandria database
Functional: PBE
Structure: relaxed

Values from the calculation:
Its uncorrected formation energy is -1.189 eV/atom. As for the total energy: -37.20 eV per cell.

abc: 4.497 4.497 4.884
angles: 90.00 90.00 90.00
Space group P4/mmm (No. 123)
Inequivalent atoms, fractional coordinates:
1 Y 0.000 0.000 0.000
2 Zr 0.000 0.500 0.500
3 In 0.500 0.500 0.000
4 O 0.000 0.000 0.500

---

Entry 3:
Compound: YZrInO2
Source: the Alexandria database
Functional: PBE
Structure: relaxed

Values from the calculation:
Its uncorrected formation energy is -0.600 eV/atom. As for the total energy: -30.67 eV per cell.

abc: 4.340 4.340 6.355
angles: 90.00 90.00 90.00
Space group P4/mmm (No. 123)
Inequivalent atoms, fractional coordinates:
1 Y 0.000 0.000 0.000
2 Zr 0.000 0.000 0.500
3 In 0.500 0.500 0.500
4 O 0.000 0.500 0.000

---

Entry 4:
Compound: YbInO3
Source: the Alexandria database
Functional: PBE
Structure: relaxed

Values from the calculation:
Its uncorrected formation energy is -1.673 eV/atom. As for the total energy: -27.50 eV per cell.

abc: 4.141 4.141 4.141
angles: 90.00 90.00 90.00
Space group Pm-3m (No. 221)
Inequivalent atoms, fractional coordinates:
1 Yb 0.000 0.000 0.000
2 In 0.500 0.500 0.500
3 O 0.000 0.500 0.500

---

Entry 5:
Compound: ZnInO
Source: the Alexandria database
Functional: PBE
Structure: relaxed

Values from the calculation:
Its uncorrected formation energy is -0.772 eV/atom. The energy above the lowest structure with this stoichiometry is 3 meV/atom. As for the total energy: -22.58 eV per cell.

abc: 5.712 3.280 6.039
angles: 90.00 108.45 90.00
Space group Cm (No. 8)
Inequivalent atoms, fractional coordinates:
1 Zn 0.000 0.000 0.000
2 In 0.338 0.500 0.510
3 O 0.203 0.500 0.107

---

Entry 6:
Compound: Zn2In2O5
Source: the Alexandria database
Functional: PBE
Structure: relaxed

Values from the calculation:
Its uncorrected formation energy is -1.435 eV/atom. The energy above the lowest structure with this stoichiometry is 3 meV/atom. As for the total energy: -91.45 eV per cell.

abc: 3.4749 3.4749 23.2067
angles: 90.00 90.00 120.00
Space group P6_3/mmc (No. 194)
Inequivalent atoms, fractional coordinates:
1 Zn 0.3333 0.6667 0.1304
2 In 0.0000 0.0000 0.0000
3 In 0.3333 0.6667 0.7500
4 O 0.3333 0.6667 0.0448
5 O 0.3333 0.6667 0.2500
6 O 0.3333 0.6667 0.6546

---

Entry 7:
Compound: ZnIn3O6
Source: the Alexandria database
Functional: PBE
Structure: relaxed

Values from the calculation:
Its uncorrected formation energy is -1.346 eV/atom. As for the total energy: -316.19 eV per cell.

abc: 9.1413 9.1413 10.7840
angles: 90.00 90.00 120.00
Space group R-3 (No. 148, hexagonal axes)
Inequivalent atoms, fractional coordinates:
1 Zn 0.0000 0.0000 0.0000
2 Zn 0.0000 0.0000 0.5000
3 In 0.0426 0.2661 0.2063
4 O 0.0257 0.2120 0.4030
5 O 0.0275 0.1868 0.8784

---

Entry 8:
Compound: ZnInO
Source: the Alexandria database
Functional: PBE
Structure: relaxed

Values from the calculation:
Its uncorrected formation energy is -0.734 eV/atom. The energy above the lowest structure with this stoichiometry is 42 meV/atom. As for the total energy: -22.35 eV per cell.

abc: 5.576 3.310 5.891
angles: 90.00 107.84 90.00
Space group Pm (No. 6)
Inequivalent atoms, fractional coordinates:
1 Zn 0.000 0.000 0.000
2 Zn 0.475 0.000 0.509
3 In 0.605 0.500 0.052
4 In 0.959 0.500 0.581
5 O 0.374 0.000 0.152
6 O 0.387 0.500 0.657